Below is a relaxed SmEr2 crystal, with properties calculated at the GGA-PBE level.

Offset from the most stable computed form = 0 meV/atom
VASP energy = -4.619 eV/atom
E_form = -0.007 eV per atom
V = 31.32 A^3/atom
Total magnetization = 0.02 μB per cell
Space group = R-3m, No. 166

Cell lengths 3.566, 3.566, 8.782 Å; angles 101.76, 101.76, 60.00 degrees
Positions (direct):
Er: 0.221 0.221 0.663
Er: 0.779 0.779 0.337
Sm: 0.000 0.000 0.000